Record 1
Density functional theory data (PBE+U) for a relaxed structure of Na2TiFeP3O12.

```
38
Lattice="7.565 -4.375 0.000 7.565 4.375 0.000 -5.055 0.000 7.296" Properties=species:S:1:pos:R:3 pbc="T T T"
Na 0.290 0.000 3.588
Na 2.731 -1.542 1.814
Na 9.785 0.000 3.708
Na 7.344 -1.542 5.482
Ti 5.032 2.761 1.315
Ti 5.042 2.761 5.981
Fe 2.550 -1.571 5.081
Fe 7.525 -1.571 2.215
P 2.882 1.481 3.640
P 0.314 -0.296 7.215
P 7.193 1.481 3.656
P 9.761 -0.296 0.081
P 5.037 -3.451 3.648
P 7.565 -4.147 0.000
O 6.315 3.687 0.133
O 1.471 2.138 3.627
O -2.377 0.013 4.894
O 3.678 1.856 2.368
O 3.759 3.687 7.163
O 5.188 1.242 0.074
O 3.614 2.063 4.876
O 6.461 2.063 2.420
O 2.724 -0.051 3.684
O -1.104 -0.932 7.177
O 1.049 -0.531 5.881
O 6.397 1.856 4.928
O 8.604 2.138 3.669
O 4.887 1.242 7.222
O 6.100 -0.895 1.122
O 3.975 -0.895 6.174
O 7.351 -0.051 3.612
O 3.756 -2.597 3.726
O 9.026 -0.531 1.415
O 2.303 -3.309 6.018
O 11.179 -0.932 0.119
O 6.318 -2.597 3.570
O 12.451 0.013 2.402
O 7.771 -3.309 1.278
```

Results
DFT total energy = -271.62 eV for the cell shown
total magnetization = 10.1 μB per cell
distance to the lowest polymorph of the same formula = 0.0 meV/atom

=====

Record 2
Density functional theory data (PBE+U) for a relaxed structure of Na2TiFeP3O12.

```
76
Lattice="9.953 0.000 0.000 0.000 9.953 0.000 0.000 0.000 9.953" Properties=species:S:1:pos:R:3 pbc="T T T"
Na 0.775 4.201 5.752
Na 1.419 1.419 1.419
Na 3.557 8.534 6.396
Na 4.201 5.752 0.775
Na 5.752 0.775 4.201
Na 6.396 3.557 8.534
Na 8.534 6.396 3.557
Na 9.178 9.178 9.178
Ti 1.100 6.077 8.853
Ti 3.877 3.877 3.877
Ti 6.077 8.853 1.100
Ti 8.853 1.100 6.077
Fe 1.638 8.315 3.338
Fe 3.338 1.638 8.315
Fe 6.615 6.615 6.615
Fe 8.315 3.338 1.638
P 0.210 2.908 8.736
P 1.218 5.187 2.069
P 2.069 1.218 5.187
P 2.908 8.736 0.210
P 3.759 4.767 7.046
P 4.767 7.046 3.759
P 5.187 2.069 1.218
P 6.194 9.743 7.884
P 7.046 3.759 4.767
P 7.884 6.194 9.743
P 8.736 0.210 2.908
P 9.743 7.884 6.194
O 0.039 9.329 2.669
O 0.179 4.386 8.241
O 0.446 7.031 7.327
O 0.590 1.713 5.156
O 0.624 7.646 4.938
O 0.946 6.623 2.525
O 1.646 2.452 9.007
O 1.713 5.156 0.590
O 2.055 7.603 9.507
O 2.307 9.914 4.353
O 2.350 4.530 2.922
O 2.452 9.007 1.646
O 2.525 0.946 6.623
O 2.626 5.423 7.899
O 2.669 0.039 9.329
O 2.922 2.350 4.530
O 3.264 4.797 5.567
O 3.331 7.502 4.030
O 4.030 3.331 7.502
O 4.353 2.307 9.914
O 4.386 8.241 0.179
O 4.530 2.922 2.350
O 4.797 5.567 3.264
O 4.938 0.624 7.646
O 5.016 5.601 7.284
O 5.156 0.590 1.713
O 5.423 7.899 2.626
O 5.567 3.264 4.797
O 5.601 7.284 5.016
O 5.923 8.307 7.428
O 6.623 2.525 0.946
O 6.689 9.774 9.363
O 7.031 7.327 0.446
O 7.284 5.016 5.601
O 7.327 0.446 7.031
O 7.428 5.923 8.307
O 7.502 4.030 3.331
O 7.603 9.507 2.055
O 7.646 4.938 0.624
O 7.899 2.626 5.423
O 8.241 0.179 4.386
O 8.307 7.428 5.923
O 9.007 1.646 2.452
O 9.329 2.669 0.039
O 9.363 6.689 9.774
O 9.507 2.055 7.603
O 9.774 9.363 6.689
O 9.914 4.353 2.307
```

Results
DFT total energy = -540.75 eV for the cell shown
total magnetization = 19.7 μB per cell
distance to the lowest polymorph of the same formula = 32.7 meV/atom

=====

Record 3
Density functional theory data (PBE+U) for a relaxed structure of Na2TiFeP3O12.

```
76
Lattice="8.725 0.000 0.000 4.349 7.745 0.000 0.028 4.955 14.295" Properties=species:S:1:pos:R:3 pbc="T T T"
Na 0.000 0.000 0.000
Na 3.155 9.839 12.482
Na 4.342 7.414 10.382
Na 7.113 6.037 0.730
Na 7.558 7.641 5.273
Na 8.810 10.233 7.238
Na 5.930 6.574 13.367
Na 8.979 5.047 3.442
Ti 4.340 10.556 9.559
Ti 4.318 5.407 6.056
Ti 8.746 7.135 8.156
Ti 8.724 2.064 4.511
Fe 4.324 4.611 1.050
Fe 4.329 4.473 11.631
Fe 8.737 8.145 2.466
Fe 8.734 7.959 13.171
P 2.509 4.965 8.860
P 3.061 6.697 13.944
P 3.110 3.155 3.869
P 5.565 6.897 3.221
P 5.588 8.307 7.352
P 6.170 9.998 12.399
P 6.907 2.599 1.725
P 7.466 4.319 6.757
P 7.457 5.638 10.931
P 9.955 9.404 10.325
P 9.965 5.913 0.201
P 10.574 7.618 5.307
O 2.724 6.385 5.651
O 1.538 6.808 13.783
O 1.564 3.169 4.040
O 5.059 8.338 3.480
O 1.598 3.746 9.156
O 5.322 9.166 6.099
O 4.940 8.908 8.614
O 3.440 4.004 2.645
O 4.943 6.392 1.910
O 5.208 9.755 11.187
O 3.755 8.071 14.165
O 5.268 10.402 13.608
O 3.335 5.355 10.081
O 3.410 4.608 7.660
O 5.029 6.882 7.153
O 3.736 3.775 5.154
O 5.205 6.032 4.464
O 3.714 6.164 12.637
O 3.293 0.774 0.834
O 7.143 11.163 12.197
O 3.617 1.705 3.770
O 7.115 6.861 3.110
O 7.134 8.261 7.519
O 6.180 3.935 1.461
O 6.906 8.667 12.647
O 5.928 4.328 6.625
O 5.922 5.720 11.050
O 9.411 10.826 10.432
O 5.905 1.463 1.976
O 9.803 11.842 13.299
O 9.344 6.460 1.513
O 7.864 6.464 9.665
O 8.012 5.764 6.895
O 9.306 8.748 9.073
O 9.672 7.248 4.113
O 9.646 7.985 6.505
O 7.735 2.154 0.494
O 9.246 9.540 14.235
O 7.847 2.826 2.944
O 8.104 6.188 12.213
O 8.107 3.691 5.505
O 9.753 8.577 11.599
O 7.821 3.486 8.019
O 11.478 8.833 5.011
O 7.961 4.181 10.733
O 11.505 9.412 10.106
O 11.493 5.733 0.343
O 10.328 6.175 8.485
```

Results
DFT total energy = -543.11 eV for the cell shown
total magnetization = 20.3 μB per cell
distance to the lowest polymorph of the same formula = 1.6 meV/atom

=====

Record 4
Density functional theory data (PBE+U) for a relaxed structure of Na2ZnFeP2O8.

```
28
Lattice="5.119 0.000 0.000 0.000 9.057 0.000 -4.858 0.000 6.922" Properties=species:S:1:pos:R:3 pbc="T T T"
Na -0.121 1.361 1.637
Na -2.551 3.167 5.098
Na 2.812 5.890 1.824
Na 0.382 7.696 5.285
Zn 2.560 0.000 0.000
Zn 0.131 4.529 3.461
Fe -2.429 0.000 3.461
Fe 0.000 4.529 0.000
P -2.145 6.121 5.254
P 0.285 7.465 1.793
P -0.024 1.592 5.129
P 2.406 2.936 1.668
O -3.606 5.588 5.282
O -1.177 7.998 1.821
O -1.444 5.580 3.978
O 0.985 8.006 0.517
O 0.336 5.892 1.743
O -2.094 7.694 5.204
O -0.805 1.149 3.873
O 1.625 3.379 0.412
O -1.364 5.678 6.510
O 1.066 7.908 3.049
O 2.355 1.363 1.718
O -0.075 3.166 5.179
O -0.724 1.052 6.405
O 1.705 3.477 2.944
O 1.438 1.059 5.101
O 3.867 3.469 1.640
```

Results
DFT total energy = -177.63 eV for the cell shown
total magnetization = 8.0 μB per cell

=====

Record 5
Density functional theory data (PBE+U) for a relaxed structure of Na2PaFeO6.

```
10
Lattice="5.641 0.000 0.000 -2.820 4.887 0.000 -2.818 -1.628 4.649" Properties=species:S:1:pos:R:3 pbc="T T T"
Na 0.000 0.000 0.000
Na 2.822 1.623 2.328
Pa 0.001 3.255 1.171
Fe 0.002 -0.002 3.495
O -1.532 -0.444 2.388
O -1.672 3.771 2.388
O -0.385 -1.544 4.614
O 0.389 1.541 2.379
O -1.143 1.111 4.605
O 1.536 0.440 4.605
```

Results
DFT total energy = -67.86 eV for the cell shown
total magnetization = 2.9 μB per cell

=====

Record 6
Density functional theory data (PBE+U) for a relaxed structure of NaPa2FeO6.

```
10
Lattice="5.142 0.000 0.000 0.000 5.142 0.000 0.000 0.000 5.522" Properties=species:S:1:pos:R:3 pbc="T T T"
Na 0.000 0.000 0.000
Pa 0.000 2.571 2.438
Pa 2.571 0.000 2.438
Fe 2.571 2.571 0.080
O 0.000 0.000 3.333
O 1.319 1.319 1.246
O 1.319 3.824 1.246
O 2.571 2.571 3.626
O 3.824 1.319 1.246
O 3.824 3.824 1.246
```

Results
DFT total energy = -80.50 eV for the cell shown
total magnetization = 3.1 μB per cell

=====

Record 7
Density functional theory data (PBE+U) for a relaxed structure of Na2PaFeO5.

```
9
Lattice="4.290 0.000 0.000 0.000 4.290 0.000 0.000 0.000 8.055" Properties=species:S:1:pos:R:3 pbc="T T T"
Na 0.000 0.000 1.835
Na 0.000 0.000 6.220
Pa 2.145 2.145 0.000
Fe 2.145 2.145 4.027
O 0.000 0.000 4.027
O 0.000 2.145 0.000
O 2.145 0.000 0.000
O 2.145 2.145 2.173
O 2.145 2.145 5.881
```

Results
DFT total energy = -60.68 eV for the cell shown
total magnetization = 5.0 μB per cell

=====

Record 8
Density functional theory data (PBE+U) for a relaxed structure of NaPaFeO6.

```
9
Lattice="5.306 0.000 0.000 -2.653 4.595 0.000 0.000 0.000 4.680" Properties=species:S:1:pos:R:3 pbc="T T T"
Na 0.000 0.000 0.000
Pa 0.000 3.063 2.340
Fe 2.653 1.532 0.000
O 2.003 0.114 3.588
O 1.100 1.678 1.092
O 3.302 0.114 1.092
O 1.750 2.803 3.588
O 4.205 1.678 3.588
O 3.556 2.803 1.092
```

Results
DFT total energy = -62.02 eV for the cell shown
total magnetization = 4.0 μB per cell

=====

Record 9
Density functional theory data (PBE+U) for a relaxed structure of NaPaFeO4.

```
14
Lattice="-3.245 3.567 4.515 3.245 -3.567 4.515 3.245 3.567 -4.515" Properties=species:S:1:pos:R:3 pbc="T T T"
Na 0.000 1.783 1.277
Na 3.245 1.783 3.238
Pa 3.245 0.000 0.000
Pa 0.000 0.000 4.515
Fe 1.623 1.783 -2.258
Fe 1.623 -1.783 2.258
O 3.245 -0.342 2.102
O 3.245 3.225 -2.102
O 1.902 1.783 0.041
O 4.589 1.783 0.041
O -1.343 1.783 4.474
O 1.343 1.783 4.474
O 0.000 0.342 6.617
O 0.000 3.909 2.413
```

Results
DFT total energy = -108.36 eV for the cell shown
total magnetization = 8.0 μB per cell

=====

Record 10
Density functional theory data (PBE+U) for a relaxed structure of NaPaFe2O8.

```
12
Lattice="-2.566 2.566 5.908 2.566 -2.566 5.908 2.566 2.566 -5.908" Properties=species:S:1:pos:R:3 pbc="T T T"
Na 0.000 0.000 0.000
Pa 2.566 0.000 2.954
Fe 0.000 0.000 5.908
Fe 0.000 2.566 2.954
O 1.212 -0.725 4.996
O 1.842 1.354 0.912
O -0.888 1.119 2.273
O 1.354 3.291 -0.912
O 1.448 1.679 3.635
O 0.725 1.212 6.820
O 0.888 4.014 2.273
O -1.448 3.454 3.635
```

Results
DFT total energy = -80.15 eV for the cell shown
total magnetization = 6.0 μB per cell

=====

Record 11
Density functional theory data (PBE+U) for a relaxed structure of NaPa2FeO8.

```
12
Lattice="5.160 0.000 0.000 -2.580 4.468 0.000 0.000 0.000 7.202" Properties=species:S:1:pos:R:3 pbc="T T T"
Na 0.000 0.000 0.000
Pa 0.000 2.979 2.547
Pa 2.580 1.489 4.655
Fe 0.000 0.000 3.601
O 0.000 1.531 4.622
O -1.254 3.703 4.622
O 0.000 2.979 0.679
O 1.326 0.766 2.580
O 1.254 3.703 4.622
O 2.580 1.489 6.523
O 3.834 0.766 2.580
O 2.580 2.937 2.580
```

Results
DFT total energy = -92.80 eV for the cell shown
total magnetization = 3.0 μB per cell

=====

Record 12
Density functional theory data (PBE+U) for a relaxed structure of Na2FePbO4.

```
8
Lattice="-2.630 2.630 4.764 2.630 -2.630 4.764 2.630 2.630 -4.764" Properties=species:S:1:pos:R:3 pbc="T T T"
Na 0.000 0.000 0.000
Na 0.000 2.630 2.382
Fe 2.630 0.000 2.382
Pb 0.000 0.000 4.764
O 1.471 -1.071 3.451
O 1.559 1.158 1.313
O 1.158 3.701 -1.313
O 1.071 1.471 6.077
```

Results
DFT total energy = -42.47 eV for the cell shown
total magnetization = 4.1 μB per cell

=====

Record 13
Density functional theory data (PBE+U) for a relaxed structure of Na3FePd2O6.

```
12
Lattice="2.722 -4.854 0.000 2.722 4.854 0.000 -1.794 0.000 5.294" Properties=species:S:1:pos:R:3 pbc="T T T"
Na 0.000 0.000 0.000
Na 2.722 1.611 0.000
Na 2.722 -1.611 0.000
Fe 1.825 0.000 2.647
Pd 1.825 3.227 2.647
Pd 1.825 -3.227 2.647
O 0.873 1.663 1.568
O -0.026 0.000 3.714
O 0.873 -1.663 1.568
O 2.777 1.663 3.726
O 3.676 0.000 1.580
O 2.777 -1.663 3.726
```

Results
DFT total energy = -62.40 eV for the cell shown
total magnetization = 4.7 μB per cell

=====

Record 14
Density functional theory data (PBE+U) for a relaxed structure of Na2FePdO4.

```
8
Lattice="5.338 0.000 0.000 0.000 3.176 0.000 -1.682 0.000 5.406" Properties=species:S:1:pos:R:3 pbc="T T T"
Na 0.000 0.000 0.000
Na 2.669 1.588 0.000
Fe -0.841 1.588 2.703
Pd 1.828 0.000 2.703
O 0.050 0.000 3.781
O 0.832 1.588 1.550
O 2.825 1.588 3.856
O 3.606 0.000 1.625
```

Results
DFT total energy = -42.83 eV for the cell shown
total magnetization = 6.0 μB per cell